No. 1
First-principles (PBE-GGA) data for crystalline MgInF2 at its relaxed geometry, as listed in the Alexandria database. Values from VASP.

Structure (Quantum ESPRESSO input):
```
&SYSTEM
  ibrav = 0, nat = 4, ntyp = 3
/
ATOMIC_SPECIES
Mg 24.30 Mg.upf
In 114.82 In.upf
F 19.00 F.upf
CELL_PARAMETERS angstrom
0.000 3.223 3.223
3.223 0.000 3.223
3.223 3.223 0.000
ATOMIC_POSITIONS crystal
Mg 0.000 0.000 0.000
In 0.500 0.500 0.500
F 0.250 0.250 0.250
F 0.750 0.750 0.750
```

Calculated values
Formation energy (no corrections)   -1.442 eV/atom


No. 2
First-principles (PBE-GGA) data for crystalline Er6GeTe2 at its relaxed geometry, as listed in the Alexandria database. Values from VASP.

Structure (Quantum ESPRESSO input):
```
&SYSTEM
  ibrav = 0, nat = 18, ntyp = 3
/
ATOMIC_SPECIES
Er 167.26 Er.upf
Ge 72.64 Ge.upf
Te 127.60 Te.upf
CELL_PARAMETERS angstrom
6.262 0.000 0.000
0.000 7.947 0.000
-5.977 0.000 10.050
ATOMIC_POSITIONS crystal
Er 0.084 0.194 0.454
Er 0.084 0.306 0.954
Er 0.320 0.670 0.454
Er 0.320 0.830 0.954
Er 0.368 0.032 0.233
Er 0.368 0.468 0.733
Er 0.632 0.532 0.267
Er 0.632 0.968 0.767
Er 0.680 0.170 0.046
Er 0.680 0.330 0.546
Er 0.916 0.694 0.046
Er 0.916 0.806 0.546
Ge 0.500 0.000 0.500
Ge 0.500 0.500 0.000
Te 0.151 0.115 0.744
Te 0.151 0.385 0.244
Te 0.849 0.615 0.756
Te 0.849 0.885 0.256
```

Calculated values
Formation energy (no corrections)   -0.699 eV/atom


No. 3
First-principles (PBE-GGA) data for crystalline Y5HoEr3 at its relaxed geometry, as listed in the Alexandria database. Values from VASP.

Structure (Quantum ESPRESSO input):
```
&SYSTEM
  ibrav = 0, nat = 18, ntyp = 3
/
ATOMIC_SPECIES
Y 88.91 Y.upf
Ho 164.93 Ho.upf
Er 167.26 Er.upf
CELL_PARAMETERS angstrom
-4.442 4.442 7.353
4.442 -4.442 7.353
4.442 4.442 -7.353
ATOMIC_POSITIONS crystal
Y 0.000 0.000 0.000
Y 0.071 0.571 0.908
Y 0.163 0.071 0.500
Y 0.337 0.837 0.908
Y 0.429 0.337 0.500
Y 0.500 0.500 0.000
Y 0.571 0.663 0.500
Y 0.663 0.163 0.092
Y 0.837 0.929 0.500
Y 0.929 0.429 0.092
Ho 0.250 0.750 0.500
Ho 0.750 0.250 0.500
Er 0.113 0.387 0.500
Er 0.250 0.250 0.000
Er 0.387 0.887 0.275
Er 0.613 0.113 0.725
Er 0.750 0.750 0.000
Er 0.887 0.613 0.500
```

Calculated values
Energy of formation   299 meV per atom


No. 4
First-principles (PBE-GGA) data for crystalline Ba3SiPd at its relaxed geometry, as listed in the Alexandria database. Values from VASP.

Structure (Quantum ESPRESSO input):
```
&SYSTEM
  ibrav = 0, nat = 5, ntyp = 3
/
ATOMIC_SPECIES
Ba 137.33 Ba.upf
Si 28.09 Si.upf
Pd 106.42 Pd.upf
CELL_PARAMETERS angstrom
5.986 0.000 0.000
0.000 5.986 0.000
0.000 0.000 5.986
ATOMIC_POSITIONS crystal
Ba 0.000 0.000 0.500
Ba 0.000 0.500 0.000
Ba 0.500 0.000 0.000
Si 0.500 0.500 0.500
Pd 0.000 0.000 0.000
```

Calculated values
Formation energy (no corrections)   -0.040 eV/atom


No. 5
First-principles (PBE-GGA) data for crystalline KTcNi at its relaxed geometry, as listed in the Alexandria database. Values from VASP.

Structure (Quantum ESPRESSO input):
```
&SYSTEM
  ibrav = 0, nat = 6, ntyp = 3
/
ATOMIC_SPECIES
K 39.10 K.upf
Tc 98.00 Tc.upf
Ni 58.69 Ni.upf
CELL_PARAMETERS angstrom
4.168 0.000 0.000
-2.080 3.612 0.000
-0.442 -2.084 11.282
ATOMIC_POSITIONS crystal
K 0.000 0.000 0.000
K 0.238 0.347 0.606
Tc 0.119 0.172 0.303
Tc 0.786 0.506 0.303
Ni 0.410 0.778 0.196
Ni 0.495 0.901 0.411
```

Calculated values
Energy of formation   428 meV per atom


No. 6
First-principles (PBE-GGA) data for crystalline Ac6Nd5Er at its relaxed geometry, as listed in the Alexandria database. Values from VASP.

Structure (Quantum ESPRESSO input):
```
&SYSTEM
  ibrav = 0, nat = 12, ntyp = 3
/
ATOMIC_SPECIES
Ac 227.00 Ac.upf
Nd 144.24 Nd.upf
Er 167.26 Er.upf
CELL_PARAMETERS angstrom
-2.743 5.252 8.193
2.743 -5.252 8.193
2.743 5.252 -8.193
ATOMIC_POSITIONS crystal
Ac 0.083 0.334 0.748
Ac 0.247 0.000 0.247
Ac 0.414 0.666 0.748
Ac 0.586 0.334 0.252
Ac 0.753 0.000 0.753
Ac 0.917 0.666 0.252
Nd 0.166 0.166 0.000
Nd 0.334 0.834 0.500
Nd 0.500 0.500 0.000
Nd 0.666 0.166 0.500
Nd 0.834 0.834 0.000
Er 0.000 0.500 0.500
```

Calculated values
Energy of formation   30 meV per atom


No. 7
First-principles (PBE-GGA) data for crystalline PuTl2PbF8 at its relaxed geometry, as listed in the Alexandria database. Values from VASP.

Structure (Quantum ESPRESSO input):
```
&SYSTEM
  ibrav = 0, nat = 12, ntyp = 4
/
ATOMIC_SPECIES
Pu 244.00 Pu.upf
Tl 204.38 Tl.upf
Pb 207.20 Pb.upf
F 19.00 F.upf
CELL_PARAMETERS angstrom
4.054 0.000 0.000
0.000 8.343 0.000
-0.023 0.000 6.684
ATOMIC_POSITIONS crystal
Pu 0.000 0.000 0.000
Tl 0.500 0.256 0.500
Tl 0.500 0.744 0.500
Pb 0.000 0.500 0.000
F 0.001 0.213 0.802
F 0.001 0.787 0.802
F 0.499 0.000 0.184
F 0.499 0.500 0.774
F 0.501 0.000 0.816
F 0.501 0.500 0.226
F 0.999 0.213 0.198
F 0.999 0.787 0.198
```

Calculated values
Formation energy (no corrections)   -2.642 eV/atom


No. 8
First-principles (PBE-GGA) data for crystalline Ce2Pd7Pt3 at its relaxed geometry, as listed in the Alexandria database. Values from VASP.

Structure (Quantum ESPRESSO input):
```
&SYSTEM
  ibrav = 0, nat = 12, ntyp = 3
/
ATOMIC_SPECIES
Ce 140.12 Ce.upf
Pd 106.42 Pd.upf
Pt 195.08 Pt.upf
CELL_PARAMETERS angstrom
4.138 0.000 0.000
0.000 5.718 0.000
-0.009 0.000 8.747
ATOMIC_POSITIONS crystal
Ce 0.000 0.000 0.187
Ce 0.000 0.000 0.813
Pd 0.000 0.500 0.500
Pd 0.500 0.256 0.000
Pd 0.500 0.256 0.337
Pd 0.500 0.256 0.663
Pd 0.500 0.744 0.000
Pd 0.500 0.744 0.337
Pd 0.500 0.744 0.663
Pt 0.000 0.000 0.500
Pt 0.000 0.500 0.167
Pt 0.000 0.500 0.833
```

Calculated values
Energy of formation   -530 meV per atom